## CsCaTbBr6 (PBE)

Data for a relaxed CsCaTbBr6 crystal.

The structure in POSCAR format:
```
CsCaTbBr6
1.0
-6.312 -3.745 1.616
6.376 -1.642 3.624
-3.581 10.884 11.232
Cs Ca Tb Br
2 2 2 12
Cartesian
0.000 0.000 0.000
-1.791 5.442 5.616
1.251 0.378 5.763
-4.769 5.119 10.709
-2.978 -0.323 5.093
-0.540 5.820 11.378
-0.545 -1.759 4.905
-4.403 -2.721 4.608
1.644 4.020 11.464
0.885 8.219 11.864
-1.296 1.795 5.933
-3.580 -0.886 7.802
-0.635 5.341 14.168
-5.162 1.478 5.008
0.062 6.383 8.669
-2.883 0.156 2.304
-2.221 3.702 10.539
-2.973 7.256 11.566
```

Properties
Final energy   -70.2 eV per cell
Total magnetization   0.00 μB per cell
Formation energy (no corrections)   -1955 meV/atom
Symmetry   No. 163



## CeSmMg14 (PBE)

Data for a relaxed CeSmMg14 crystal.

The structure in POSCAR format:
```
CeSmMg14
1.0
-2.276 0.332 -6.551
6.351 -1.623 -2.290
-1.911 -7.851 0.266
Ce Sm Mg
1 1 14
Cartesian
0.573 -4.410 -3.183
2.610 -5.055 -7.603
3.565 -1.130 -7.736
1.528 -0.484 -3.316
-0.566 -4.243 -6.458
0.390 -0.318 -6.591
3.748 -5.221 -4.328
4.704 -1.296 -4.460
-1.084 -1.847 -4.321
-2.093 -5.992 -4.180
3.238 -2.827 -2.185
2.229 -6.972 -2.045
2.098 -2.660 -5.468
1.089 -6.806 -5.328
0.056 -2.014 -1.038
-0.953 -6.159 -0.897
```

Properties
Final energy   -33.2 eV per cell
Total magnetization   1.28 μB per cell
Symmetry   No. 123



## LiMoAs (PBE)

Data for a relaxed LiMoAs crystal.

The structure in POSCAR format:
```
LiMoAs
1.0
4.208 0.000 0.000
2.104 3.644 0.000
2.104 1.215 3.436
As Li Mo
1 1 1
Cartesian
0.000 0.000 0.000
4.208 2.429 1.718
2.104 1.215 0.859
```

Properties
Final energy   -16.3 eV per cell
Total magnetization   1.25 μB per cell
Energy above the most stable polymorph in this dataset   2.37 eV/f.u.
Symmetry   No. 216



The highest total magnetization belongs to which entry?
CeSmMg14